# PBE-GGA Sr3HfO, optimized geometry
# - Formation energy (no corrections): -48.2 kJ/mol of atoms
# - Space group: Pm-3m, No. 221
# - E above lowest polymorph: 0.000 eV/atom
data_Sr3HfO
_cell_length_a 5.275
_cell_length_b 5.275
_cell_length_c 5.275
_cell_angle_alpha 90.00
_cell_angle_beta 90.00
_cell_angle_gamma 90.00
_space_group_name_H-M_alt 'P 1'
_space_group_IT_number 1
loop_
_space_group_symop_operation_xyz
'x,y,z'
loop_
_atom_site_label
_atom_site_type_symbol
_atom_site_fract_x
_atom_site_fract_y
_atom_site_fract_z
Sr1 Sr 0.000 0.500 0.000
Sr2 Sr 0.000 0.000 0.500
Sr3 Sr 0.500 0.000 0.000
Hf1 Hf 0.500 0.500 0.500
O1 O 0.000 0.000 0.000



# PBE-GGA Sr3HfO, optimized geometry
# - Formation energy (no corrections): 109.1 kJ/mol of atoms
# - Space group: Pm-3m, No. 221
# - E above lowest polymorph: 1.631 eV/atom
data_Sr3HfO
_cell_length_a 6.238
_cell_length_b 6.238
_cell_length_c 6.238
_cell_angle_alpha 90.00
_cell_angle_beta 90.00
_cell_angle_gamma 90.00
_space_group_name_H-M_alt 'P 1'
_space_group_IT_number 1
loop_
_space_group_symop_operation_xyz
'x,y,z'
loop_
_atom_site_label
_atom_site_type_symbol
_atom_site_fract_x
_atom_site_fract_y
_atom_site_fract_z
Sr1 Sr 0.000 0.500 0.000
Sr2 Sr 0.000 0.000 0.500
Sr3 Sr 0.500 0.000 0.000
Hf1 Hf 0.000 0.000 0.000
O1 O 0.500 0.500 0.500



# PBE-GGA SrHfO3, optimized geometry
# - Formation energy (no corrections): -299.4 kJ/mol of atoms
# - Space group: P6_3/mmc, No. 194
data_SrHfO3
_cell_length_a 3.711
_cell_length_b 3.711
_cell_length_c 13.181
_cell_angle_alpha 90.00
_cell_angle_beta 90.00
_cell_angle_gamma 120.00
_space_group_name_H-M_alt 'P 1'
_space_group_IT_number 1
loop_
_space_group_symop_operation_xyz
'x,y,z'
loop_
_atom_site_label
_atom_site_type_symbol
_atom_site_fract_x
_atom_site_fract_y
_atom_site_fract_z
Sr1 Sr 0.000 0.000 0.000
Sr2 Sr 0.000 0.000 0.500
Hf1 Hf 0.333 0.667 0.750
Hf2 Hf 0.667 0.333 0.250
O1 O 0.000 0.000 0.250
O2 O 0.000 0.000 0.750
O3 O 0.333 0.667 0.900
O4 O 0.333 0.667 0.600
O5 O 0.667 0.333 0.400
O6 O 0.667 0.333 0.100



# PBE-GGA SrHfO3, optimized geometry
# - Formation energy (no corrections): -315.1 kJ/mol of atoms
# - Space group: Cmmm, No. 65
data_SrHfO3
_cell_length_a 4.083
_cell_length_b 5.789
_cell_length_c 6.787
_cell_angle_alpha 115.25
_cell_angle_beta 90.00
_cell_angle_gamma 90.00
_space_group_name_H-M_alt 'P 1'
_space_group_IT_number 1
loop_
_space_group_symop_operation_xyz
'x,y,z'
loop_
_atom_site_label
_atom_site_type_symbol
_atom_site_fract_x
_atom_site_fract_y
_atom_site_fract_z
Sr1 Sr 0.000 0.648 0.296
Sr2 Sr 0.000 0.352 0.704
Hf1 Hf 0.500 0.126 0.252
Hf2 Hf 0.500 0.874 0.748
O1 O 0.500 0.243 0.000
O2 O 0.000 0.853 0.706
O3 O 0.500 0.757 0.000
O4 O 0.500 0.500 0.500
O5 O 0.000 0.147 0.294
O6 O 0.500 0.000 0.500